# KRb2TlRe

A relaxed structure of KRb2TlRe (PBE-GGA, Alexandria).

Unit cell a=6.821 b=6.821 c=5.431 alpha=90.00 beta=90.00 gamma=90.00
Space group P4/mmm (No. 123)
Asymmetric unit:
K  0.000  0.000  0.000 (multiplicity 1)
Rb  0.000  0.500  0.500 (multiplicity 2)
Tl  0.500  0.500  0.000 (multiplicity 1)
Re  0.500  0.500  0.500 (multiplicity 1)

Values from the calculation:
Spin magnetization (μB/atom): 0.5332



# KRbRh2

A relaxed structure of KRbRh2 (PBE-GGA, Alexandria).

Unit cell a=9.073 b=9.073 c=5.424 alpha=90.00 beta=90.00 gamma=90.00
Space group I-42d (No. 122)
Asymmetric unit:
K  0.000  0.000  0.000 (multiplicity 4)
Rb  0.000  0.000  0.500 (multiplicity 4)
Rh  0.247  0.250  0.125 (multiplicity 8)

Values from the calculation:
Energy above the lowest structure with this stoichiometry (eV per atom): 0.000
Spin magnetization (μB/atom): 0.2556



# KRbRh3

A relaxed structure of KRbRh3 (PBE-GGA, Alexandria).

Unit cell a=5.144 b=5.144 c=5.144 alpha=90.00 beta=90.00 gamma=90.00
Space group Pm-3m (No. 221)
Asymmetric unit:
K  0.000  0.000  0.000 (multiplicity 1)
Rb  0.500  0.500  0.500 (multiplicity 1)
Rh  0.000  0.500  0.500 (multiplicity 3)

Values from the calculation:
Energy above the lowest structure with this stoichiometry (eV per atom): 0.017
Spin magnetization (μB/atom): 0.4811



Energy of formation from the pure elements readings, ordered: 986, 1158, 1943 meV per atom